Material: TcRh2
Method: DFT, GGA-PBEsol
State: relaxed

Computed properties:
- Total energy: -9.290 eV per atom
- Calculated volume: 13.54 Å³ per atom
- Total moment: 0.00 Bohr magnetons per cell
- DOS at the Fermi energy: 1.015 states/eV/atom
- Energy above the lowest structure with this stoichiometry: 65.8 meV per atom

a b c (Å): 9.8166 2.6919 6.3360
angles (deg): 90.00 104.05 90.00
Fractional positions:
Tc 0.0000 0.0000 0.0000
Tc 0.1669 0.5000 0.3308
Tc 0.5000 0.5000 0.0000
Tc 0.6669 0.0000 0.3308
Rh 0.1097 0.5000 0.7228
Rh 0.2761 0.0000 0.0541
Rh 0.3332 0.0000 0.6618
Rh 0.4475 0.5000 0.3844
Rh 0.6097 0.0000 0.7228
Rh 0.7761 0.5000 0.0541
Rh 0.8332 0.5000 0.6618
Rh 0.9475 0.0000 0.3844